Record 1
First-principles (PBE) data for a relaxed structure of KNaCrSe3, as listed in Alexandria.

Cell lengths 6.8131, 7.4367, 7.9223 Å; angles 117.99, 90.00, 90.00 degrees
Each line ends with the local moment (μB).
Element x y z (fractional)
K 0.7500 0.2126 0.4252  0.00
K 0.2500 0.7874 0.5748  0.00
Na 0.2500 0.4221 0.8441  0.00
Na 0.7500 0.5779 0.1559  0.00
Cr 0.2500 0.0554 0.1109  2.31
Cr 0.7500 0.9446 0.8891  2.31
Se 0.2500 0.2202 0.4403  -0.10
Se 0.0000 0.2148 0.0000  -0.14
Se 0.5000 0.7852 0.0000  -0.14
Se 0.5000 0.2148 0.0000  -0.14
Se 0.0000 0.7852 0.0000  -0.14
Se 0.7500 0.7798 0.5597  -0.10

## Properties
crystal system: orthorhombic
spin magnetization: 2.00 μB per formula unit
DOS(E_F): 3.7 states/eV/f.u.
formation energy without anion corrections: -0.770 eV/atom
space-group type: Cmcm (63)

Record 2
First-principles (PBE) data for a relaxed structure of Nb3V, as listed in Alexandria.

Cell lengths 3.8045, 3.8045, 5.5254 Å; angles 110.14, 110.14, 90.00 degrees
Element x y z (fractional)
Nb 0.7500 0.2500 0.5000
Nb 0.2500 0.7500 0.5000
Nb 0.5000 0.5000 0.0000
V 0.0000 0.0000 0.0000

## Properties
crystal system: tetragonal
spin magnetization: 0.00 μB per formula unit
ΔE_f: 0.1619 eV/atom
DOS(E_F): 4.9 states/eV/f.u.
space-group type: I4/mmm (139)

> The lowest spin magnetization belongs to which entry?

Nb3V

> Which of these has the highest spin magnetization?

KNaCrSe3

> What is the spin magnetization in the second record?

0.00 μB per formula unit

> What is the spin magnetization in the second record?

0.00 μB per formula unit